1.
# ZrAlPt2

A relaxed structure of ZrAlPt2 (GGA-PBE, Alexandria via LeMat-Bulk).

abc: 4.570 4.570 4.570
angles: 60.00 60.00 60.00
Sites, in units of the cell vectors:
Zr1 0.000 0.000 0.000
Al1 0.250 0.250 0.250
Pt1 0.500 0.500 0.500
Pt2 0.750 0.750 0.750

Output
DFT total energy (eV per cell): -27.26
Density of states at the Fermi level (states/eV per cell): 2.81
Total magnetic moment (μB/cell): 0.00
Formation energy from the elements (eV/f.u.): -2.88

=====

2.
# AcLa6Sm2Ho

A relaxed structure of AcLa6Sm2Ho (GGA-PBE, Alexandria via LeMat-Bulk).

abc: 6.801 6.801 10.098
angles: 112.40 112.40 60.73
Sites, in units of the cell vectors:
Ac1 0.000 0.000 0.000
La1 0.082 0.538 0.668
La2 0.354 0.354 0.078
La3 0.462 0.918 0.332
La4 0.538 0.082 0.668
La5 0.646 0.646 0.922
La6 0.918 0.462 0.332
Sm1 0.065 0.065 0.688
Sm2 0.935 0.935 0.312
Ho1 0.500 0.500 0.500

Output
DFT total energy (eV per cell): -45.91
Density of states at the Fermi level (states/eV per cell): 19.21
Total magnetic moment (μB/cell): 0.00
Formation energy from the elements (eV/f.u.): 1.78

=====

3.
# SrHgIr2

A relaxed structure of SrHgIr2 (GGA-PBE, Alexandria via LeMat-Bulk).

abc: 5.257 5.257 5.257
angles: 131.60 131.60 70.86
Sites, in units of the cell vectors:
Sr1 0.000 0.000 0.000
Hg1 0.250 0.750 0.500
Ir1 0.500 0.500 0.000
Ir2 0.750 0.250 0.500

Output
DFT total energy (eV per cell): -17.83
Density of states at the Fermi level (states/eV per cell): 6.20
Total magnetic moment (μB/cell): 0.00
Formation energy from the elements (eV/f.u.): 1.88

=====

4.
# Mn2SiNi8

A relaxed structure of Mn2SiNi8 (GGA-PBE, Alexandria via LeMat-Bulk).

abc: 6.518 6.518 6.518
angles: 148.01 114.04 75.19
Sites, in units of the cell vectors:
Mn1 0.143 0.143 0.000
Mn2 0.857 0.857 0.000
Si1 0.500 0.500 0.000
Ni1 0.098 0.335 0.763
Ni2 0.284 0.000 0.284
Ni3 0.315 0.815 0.500
Ni4 0.428 0.665 0.763
Ni5 0.572 0.335 0.237
Ni6 0.685 0.185 0.500
Ni7 0.716 0.000 0.716
Ni8 0.902 0.665 0.237

Output
DFT total energy (eV per cell): -70.83
E_form (uncorrected) (meV per atom): -74
Density of states at the Fermi level (states/eV per cell): 11.56
Total magnetic moment (μB/cell): 10.01

=====

5.
# SmScFe4

A relaxed structure of SmScFe4 (GGA-PBE, Alexandria via LeMat-Bulk).

abc: 5.074 5.074 5.074
angles: 60.00 60.00 60.00
Sites, in units of the cell vectors:
Sm1 0.000 0.000 0.000
Sc1 0.250 0.250 0.250
Fe1 0.126 0.625 0.625
Fe2 0.625 0.126 0.625
Fe3 0.625 0.625 0.126
Fe4 0.625 0.625 0.625

Output
DFT total energy (eV per cell): -45.45
Density of states at the Fermi level (states/eV per cell): 8.33
Total magnetic moment (μB/cell): 6.69
Formation energy from the elements (eV/f.u.): -0.55

=====

6.
# LaPm3DyHo

A relaxed structure of LaPm3DyHo (GGA-PBE, Alexandria via LeMat-Bulk).

abc: 8.096 5.153 10.274
angles: 90.00 108.55 90.00
Sites, in units of the cell vectors:
La1 0.169 0.250 0.292
La2 0.831 0.750 0.708
Pm1 0.170 0.250 0.793
Pm2 0.170 0.750 0.544
Pm3 0.171 0.750 0.041
Pm4 0.829 0.250 0.959
Pm5 0.830 0.250 0.456
Pm6 0.830 0.750 0.207
Dy1 0.500 0.250 0.627
Dy2 0.500 0.750 0.373
Ho1 0.498 0.750 0.876
Ho2 0.502 0.250 0.124

Output
DFT total energy (eV per cell): -56.42
Density of states at the Fermi level (states/eV per cell): 19.06
Total magnetic moment (μB/cell): 0.00
Formation energy from the elements (eV/f.u.): 0.15

=====

7.
# DyP2Rh

A relaxed structure of DyP2Rh (GGA-PBE, Alexandria via LeMat-Bulk).

abc: 5.816 5.816 5.816
angles: 38.78 38.78 38.78
Sites, in units of the cell vectors:
Dy1 0.000 0.000 0.000
P1 0.230 0.230 0.230
P2 0.770 0.770 0.770
Rh1 0.500 0.500 0.500

Output
DFT total energy (eV per cell): -26.89
Density of states at the Fermi level (states/eV per cell): 0.68
Total magnetic moment (μB/cell): 0.00
Formation energy from the elements (eV/f.u.): -4.12

=====

8.
# Ti3ReI

A relaxed structure of Ti3ReI (GGA-PBE, Alexandria via LeMat-Bulk).

abc: 4.797 4.797 4.797
angles: 90.00 90.00 90.00
Sites, in units of the cell vectors:
Ti1 0.000 0.000 0.500
Ti2 0.000 0.500 0.000
Ti3 0.500 0.000 0.000
Re1 0.500 0.500 0.500
I1 0.000 0.000 0.000

Output
DFT total energy (eV per cell): -29.58
E_form (uncorrected) (meV per atom): 1621
Relative energy among the computed polymorphs (meV per atom): 1007
Density of states at the Fermi level (states/eV per cell): 6.84
Total magnetic moment (μB/cell): 0.00

=====

9.
# W2AuSe

A relaxed structure of W2AuSe (GGA-PBE, Alexandria via LeMat-Bulk).

abc: 2.844 2.844 9.550
angles: 90.00 90.00 110.45
Sites, in units of the cell vectors:
W1 0.000 0.000 0.000
W2 0.500 0.500 0.219
Au1 0.500 0.500 0.756
Se1 0.000 0.000 0.444

Output
DFT total energy (eV per cell): -31.11
E_form (uncorrected) (meV per atom): 390
Density of states at the Fermi level (states/eV per cell): 3.24
Total magnetic moment (μB/cell): 0.00

=====

10.
# TbNiRh2

A relaxed structure of TbNiRh2 (GGA-PBE, Alexandria via LeMat-Bulk).

abc: 8.803 8.803 8.803
angles: 34.91 34.91 34.91
Sites, in units of the cell vectors:
Tb1 0.000 0.000 0.000
Tb2 0.140 0.140 0.140
Tb3 0.860 0.860 0.860
Ni1 0.333 0.333 0.333
Ni2 0.500 0.500 0.500
Ni3 0.667 0.667 0.667
Rh1 0.081 0.582 0.582
Rh2 0.418 0.418 0.919
Rh3 0.418 0.919 0.418
Rh4 0.582 0.081 0.582
Rh5 0.582 0.582 0.081
Rh6 0.919 0.418 0.418

Output
DFT total energy (eV per cell): -81.95
Relative energy among the computed polymorphs (meV per atom): 0
Density of states at the Fermi level (states/eV per cell): 9.37
Total magnetic moment (μB/cell): 0.00
Formation energy from the elements (eV/f.u.): -2.20

=====

11.
# Li3PC

A relaxed structure of Li3PC (GGA-PBE, Alexandria via LeMat-Bulk).

abc: 4.640 4.640 4.640
angles: 90.00 90.00 90.00
Sites, in units of the cell vectors:
Li1 0.000 0.000 0.500
Li2 0.000 0.500 0.000
Li3 0.500 0.000 0.000
P1 0.000 0.000 0.000
C1 0.500 0.500 0.500

Output
DFT total energy (eV per cell): -15.85
Relative energy among the computed polymorphs (meV per atom): 373
Density of states at the Fermi level (states/eV per cell): 3.38
Total magnetic moment (μB/cell): 2.00
Formation energy from the elements (eV/f.u.): 4.52

=====

12.
# BeReCl2

A relaxed structure of BeReCl2 (GGA-PBE, Alexandria via LeMat-Bulk).

abc: 4.297 4.297 4.297
angles: 60.00 60.00 60.00
Sites, in units of the cell vectors:
Be1 0.000 0.000 0.000
Re1 0.500 0.500 0.500
Cl1 0.250 0.250 0.250
Cl2 0.750 0.750 0.750

Output
DFT total energy (eV per cell): -15.18
E_form (uncorrected) (meV per atom): 1171
Relative energy among the computed polymorphs (meV per atom): 1271
Density of states at the Fermi level (states/eV per cell): 3.55
Total magnetic moment (μB/cell): 0.00

=====

13.
# La2BeCr

A relaxed structure of La2BeCr (GGA-PBE, Alexandria via LeMat-Bulk).

abc: 5.574 5.574 5.574
angles: 132.24 132.24 69.86
Sites, in units of the cell vectors:
La1 0.000 0.000 0.000
La2 0.750 0.250 0.500
Be1 0.250 0.750 0.500
Cr1 0.500 0.500 0.000

Output
DFT total energy (eV per cell): -21.28
Density of states at the Fermi level (states/eV per cell): 4.11
Total magnetic moment (μB/cell): 3.18
Formation energy from the elements (eV/f.u.): 1.93

=====

14.
# ZrCrNi2

A relaxed structure of ZrCrNi2 (GGA-PBE, Alexandria via LeMat-Bulk).

abc: 3.127 3.127 5.756
angles: 90.00 90.00 90.00
Sites, in units of the cell vectors:
Zr1 0.000 0.000 0.000
Cr1 0.500 0.500 0.311
Ni1 0.000 0.000 0.504
Ni2 0.500 0.500 0.732

Output
DFT total energy (eV per cell): -29.80
Density of states at the Fermi level (states/eV per cell): 4.91
Total magnetic moment (μB/cell): 1.33
Formation energy from the elements (eV/f.u.): -0.06

=====

15.
# In2FeTe

A relaxed structure of In2FeTe (GGA-PBE, Alexandria via LeMat-Bulk).

abc: 9.072 9.072 9.072
angles: 22.00 22.00 22.00
Sites, in units of the cell vectors:
In1 0.236 0.236 0.236
In2 0.764 0.764 0.764
Fe1 0.500 0.500 0.500
Te1 0.000 0.000 0.000

Output
DFT total energy (eV per cell): -15.70
E_form (uncorrected) (meV per atom): 345
Density of states at the Fermi level (states/eV per cell): 4.54
Total magnetic moment (μB/cell): 2.00

=====

16.
# RbCd3Re

A relaxed structure of RbCd3Re (GGA-PBE, Alexandria via LeMat-Bulk).

abc: 6.628 6.628 6.628
angles: 90.00 90.00 90.00
Sites, in units of the cell vectors:
Rb1 0.000 0.000 0.000
Cd1 0.000 0.000 0.500
Cd2 0.000 0.500 0.000
Cd3 0.500 0.000 0.000
Re1 0.500 0.500 0.500

Output
DFT total energy (eV per cell): -6.67
Relative energy among the computed polymorphs (meV per atom): 1267
Density of states at the Fermi level (states/eV per cell): 11.17
Total magnetic moment (μB/cell): 4.40
Formation energy from the elements (eV/f.u.): 9.49

=====

17.
# Pm3Nd2Y6Ho

A relaxed structure of Pm3Nd2Y6Ho (GGA-PBE, Alexandria via LeMat-Bulk).

abc: 6.251 6.251 11.887
angles: 95.01 95.01 119.98
Sites, in units of the cell vectors:
Pm1 0.000 0.000 0.000
Pm2 0.333 0.667 0.000
Pm3 0.667 0.333 0.000
Nd1 0.166 0.834 0.500
Nd2 0.834 0.166 0.500
Y1 0.084 0.417 0.250
Y2 0.251 0.251 0.750
Y3 0.417 0.084 0.250
Y4 0.583 0.916 0.750
Y5 0.749 0.749 0.250
Y6 0.916 0.583 0.750
Ho1 0.500 0.500 0.500

Output
DFT total energy (eV per cell): -67.00
Density of states at the Fermi level (states/eV per cell): 15.21
Total magnetic moment (μB/cell): 0.00
Formation energy from the elements (eV/f.u.): 0.15

=====

18.
# La2Fe2Si2C

A relaxed structure of La2Fe2Si2C (GGA-PBE, Alexandria via LeMat-Bulk).

abc: 5.844 5.844 7.116
angles: 125.03 125.03 40.27
Sites, in units of the cell vectors:
La1 0.057 0.057 0.302
La2 0.943 0.943 0.698
Fe1 0.309 0.309 0.919
Fe2 0.691 0.691 0.081
Si1 0.312 0.312 0.245
Si2 0.688 0.688 0.755
C1 0.500 0.500 0.000

Output
DFT total energy (eV per cell): -50.96
E_form (uncorrected) (meV per atom): -587
Density of states at the Fermi level (states/eV per cell): 2.99
Total magnetic moment (μB/cell): 0.00

=====

19.
# HoZnGe2

A relaxed structure of HoZnGe2 (GGA-PBE, Alexandria via LeMat-Bulk).

abc: 5.461 5.461 5.461
angles: 47.21 47.21 47.21
Sites, in units of the cell vectors:
Ho1 0.000 0.000 0.000
Zn1 0.500 0.500 0.500
Ge1 0.221 0.221 0.221
Ge2 0.779 0.779 0.779

Output
DFT total energy (eV per cell): -16.20
Density of states at the Fermi level (states/eV per cell): 2.07
Total magnetic moment (μB/cell): 0.00
Formation energy from the elements (eV/f.u.): -1.11

=====

20.
# Er2Zr3PaN6

A relaxed structure of Er2Zr3PaN6 (GGA-PBE, Alexandria via LeMat-Bulk).

abc: 5.801 5.801 5.817
angles: 99.44 99.44 120.12
Sites, in units of the cell vectors:
Er1 0.167 0.833 0.000
Er2 0.833 0.167 0.000
Zr1 0.000 0.000 0.500
Zr2 0.329 0.671 0.500
Zr3 0.671 0.329 0.500
Pa1 0.500 0.500 0.000
N1 0.085 0.414 0.741
N2 0.258 0.258 0.257
N3 0.414 0.085 0.741
N4 0.586 0.915 0.259
N5 0.742 0.742 0.743
N6 0.915 0.586 0.259

Output
DFT total energy (eV per cell): -115.03
E_form (uncorrected) (meV per atom): -1735
Density of states at the Fermi level (states/eV per cell): 4.59
Total magnetic moment (μB/cell): 0.00